Entry from Alexandria via LeMat-Bulk: PrAlS after structural relaxation (PBE-GGA).

Lattice parameters (Å, degrees): 3.568 3.569 12.383 90.00 90.00 120.00
Fractional coordinates of all 6 atoms:
S  0.611  0.222  0.625
Pr  0.278  0.556  0.800
Pr  0.278  0.556  0.200
S  0.611  0.222  0.375
Al  0.277  0.555  0.500
Al  0.611  0.223  0.000

Calculated values
- Uncorrected formation energy: -660 meV per atom
- DOS(E_F): 0.666 states/eV/atom
- Total magnetization: 0.00 μB/cell
- Final energy: -29.26 eV/cell



Entry from Alexandria via LeMat-Bulk: Tb2Pm3Nd6Dy after structural relaxation (PBE-GGA).

Lattice parameters (Å, degrees): 6.320 6.320 12.030 95.03 95.03 120.01
Fractional coordinates of all 12 atoms:
Nd  0.750  0.750  0.247
Tb  0.333  0.667  0.000
Nd  0.083  0.416  0.247
Nd  0.250  0.250  0.753
Pm  0.167  0.833  0.500
Pm  0.833  0.167  0.500
Nd  0.917  0.584  0.753
Pm  0.500  0.500  0.500
Nd  0.584  0.917  0.753
Dy  0.000  0.000  0.000
Tb  0.667  0.333  0.000
Nd  0.416  0.083  0.247

Calculated values
- DOS(E_F): 1.364 states/eV/atom
- Total magnetization: 0.00 μB/cell
- Final energy: -56.57 eV/cell



Entry from Alexandria via LeMat-Bulk: La2TiGe4Rh3 after structural relaxation (PBE-GGA).

Lattice parameters (Å, degrees): 4.269 4.269 10.674 90.00 90.00 90.00
Fractional coordinates of all 10 atoms:
Rh  0.000  0.000  0.500
Rh  0.000  0.500  0.121
La  0.500  0.000  0.241
Ti  0.500  0.500  0.500
Rh  0.500  0.000  0.879
Ge  0.000  0.000  0.000
Ge  0.000  0.500  0.358
Ge  0.500  0.000  0.642
Ge  0.500  0.500  0.000
La  0.000  0.500  0.759

Calculated values
- DOS(E_F): 0.770 states/eV/atom
- Total magnetization: 0.00 μB/cell
- Final energy: -66.52 eV/cell